# 1
The following is a DFT calculation (PBE) of a relaxed structure of Li2Dy2HoTl2.

Calculated values
Total magnetization (μB/cell): 0.0
Formation energy from the elements (meV per atom): -170

Geometry as POSCAR:
```
Li2Dy2HoTl2
1.0
4.8059 0.0000 0.0000
2.4029 4.1620 0.0000
2.4029 1.3873 8.9346
Dy Tl Li Ho
2 2 2 1
direct
0.1268 0.1268 0.6196
0.8732 0.8732 0.3804
0.7374 0.7374 0.7879
0.2626 0.2626 0.2121
0.3958 0.3958 0.8127
0.6042 0.6042 0.1873
0.0000 0.0000 0.0000
```


# 2
The following is a DFT calculation (PBE) of a relaxed structure of Li2DyHo2Tl2.

Calculated values
Total magnetization (μB/cell): 0.0
Formation energy from the elements (meV per atom): -170

Geometry as POSCAR:
```
Li2DyHo2Tl2
1.0
4.8095 0.0000 0.0000
2.4048 4.1652 0.0000
2.4048 1.3884 8.8998
Tl Li Ho Dy
2 2 2 1
direct
0.7382 0.7382 0.7855
0.2618 0.2618 0.2145
0.3971 0.3971 0.8088
0.6029 0.6029 0.1912
0.8729 0.8729 0.3813
0.1271 0.1271 0.6187
0.0000 0.0000 0.0000
```


- Which formula does entry 2 have?
  Li2DyHo2Tl2